VASP calculation (PBE-GGA) on a relaxed structure of FeRePd2. Values from VASP.

Cell and atoms, written as Quantum ESPRESSO input:
```
&SYSTEM
  ibrav = 0, nat = 8, ntyp = 3
/
ATOMIC_SPECIES
Pd 106.42 Pd.upf
Re 186.21 Re.upf
Fe 55.84 Fe.upf
CELL_PARAMETERS angstrom
2.676 -4.810 0.000
2.676 4.810 0.000
0.000 0.000 4.394
ATOMIC_POSITIONS crystal
Pd 0.166 0.332 0.750
Pd 0.668 0.834 0.750
Pd 0.332 0.166 0.250
Pd 0.834 0.668 0.250
Re 0.174 0.826 0.750
Re 0.826 0.174 0.250
Fe 0.677 0.323 0.750
Fe 0.323 0.677 0.250
```

**Calculated volume**: 14.1 Å³ per atom
**Formation energy**: 0.73 eV/f.u.
**Symmetry**: Cmcm (63)
**Energy above the most stable polymorph in this dataset**: 109 meV per atom

VASP calculation (PBE-GGA) on a relaxed structure of Fe2Re3Pd3. Values from VASP.

Cell and atoms, written as Quantum ESPRESSO input:
```
&SYSTEM
  ibrav = 0, nat = 8, ntyp = 3
/
ATOMIC_SPECIES
Re 186.21 Re.upf
Pd 106.42 Pd.upf
Fe 55.84 Fe.upf
CELL_PARAMETERS angstrom
5.422 0.000 0.000
-2.711 4.696 0.000
0.000 0.000 4.416
ATOMIC_POSITIONS crystal
Re 0.677 0.838 0.500
Re 0.162 0.323 0.500
Re 0.162 0.838 0.500
Pd 0.998 0.499 0.000
Pd 0.501 0.499 0.000
Pd 0.501 0.002 0.000
Fe 0.000 0.000 0.000
Fe 0.667 0.333 0.500
```

**Calculated volume**: 14.1 Å³ per atom
**Formation energy**: 1.06 eV/f.u.
**Symmetry**: P-6m2 (187)
**Energy above the most stable polymorph in this dataset**: 29 meV per atom

> What is the formation energy in the first record?

0.73 eV/f.u.

> Which value of energy above the most stable polymorph in this dataset does entry 1 give?

109 meV per atom